Computed, not measured: a geometry-optimized BaPu2ReO8 structure at the GGA-PBE level of DFT.

```
data_BaPu2ReO8
_cell_length_a 5.0923
_cell_length_b 7.1058
_cell_length_c 5.1556
_cell_angle_alpha 90.00
_cell_angle_beta 91.56
_cell_angle_gamma 90.00
_symmetry_space_group_name_H-M 'P 1'
_symmetry_Int_Tables_number 1
loop_
_symmetry_equiv_pos_as_xyz
'x,y,z'
loop_
_atom_site_label
_atom_site_type_symbol
_atom_site_fract_x
_atom_site_fract_y
_atom_site_fract_z
Ba1 Ba 0.0000 0.0000 0.0000
Pu1 Pu 0.5000 0.2556 0.5000
Pu2 Pu 0.5000 0.7444 0.5000
Re1 Re 0.0000 0.5000 0.0000
O1 O 0.2014 0.3113 0.1809
O2 O 0.2014 0.6887 0.1809
O3 O 0.2666 0.5000 0.7181
O4 O 0.3098 0.0000 0.6320
O5 O 0.6902 0.0000 0.3680
O6 O 0.7334 0.5000 0.2819
O7 O 0.7986 0.3113 0.8191
O8 O 0.7986 0.6887 0.8191
```

## Properties
Space-group type: P2/m, No. 10
D(E_F) in states/eV per cell: 10.2
Magnetic moment in μB per cell: 9.0
Final energy in eV per cell: -111.66
Density in g/cm3: 8.366